Here is ZrAs2Pb after structural relaxation from Alexandria. Energies are from GGA-PBEsol.

Cell: 3.6100 4.7920 4.7920 Å, 90.00 90.00 90.00°
Closest atoms and distances in Å follow each position.
Element x y z (fractional)
As 0.0000 0.5000 0.0000  4 Pb 3.00, 4 Zr 3.00
As 0.0000 0.0000 0.5000  4 Zr 3.00, 4 Pb 3.00
Zr 0.5000 0.0000 0.0000  8 As 3.00
Pb 0.5000 0.5000 0.5000  8 As 3.00

Results
Space group: P4/mmm
Formation energy from the elements: -0.190 eV per atom
DOS(E_F): 2.6 states/eV/cell

=====

Here is RbPt2W after structural relaxation from Alexandria. Energies are from GGA-PBEsol.

Cell: 4.7068 4.7068 4.7068 Å, 60.00 60.00 60.00°
Closest atoms and distances in Å follow each position.
Element x y z (fractional)
Pt 0.2500 0.2500 0.2500  4 W 2.88, 4 Rb 2.88
Pt 0.7500 0.7500 0.7500  4 Rb 2.88, 4 W 2.88
W 0.5000 0.5000 0.5000  8 Pt 2.88
Rb 0.0000 0.0000 0.0000  8 Pt 2.88

Results
Space group: Fm-3m
Formation energy from the elements: 1.202 eV per atom
DOS(E_F): 4.3 states/eV/cell

=====

Here is Be2CrMoCl after structural relaxation from Alexandria. Energies are from GGA-PBEsol.

Cell: 4.4440 4.4440 4.4128 Å, 90.00 90.00 90.00°
Closest atoms and distances in Å follow each position.
Element x y z (fractional)
Mo 0.0000 0.0000 0.0000  2 Cl 2.21, 4 Be 2.22
Cr 0.5000 0.5000 0.5000  8 Be 3.13, 4 Cl 3.14
Be 0.0000 0.5000 0.0000  2 Mo 2.22
Be 0.5000 0.0000 0.0000  2 Mo 2.22
Cl 0.0000 0.0000 0.5000  2 Mo 2.21

Results
Space group: P4/mmm
Formation energy from raw total energies: 1.268 eV/atom
DOS(E_F): 4.0 states/eV/cell

=====

Here is CdH4CN2Cl2O after structural relaxation from Alexandria. Energies are from GGA-PBEsol.

Cell: 3.7782 8.0528 10.2117 Å, 74.08 81.46 82.34°
Closest atoms and distances in Å follow each position.
Element x y z (fractional)
N 0.2944 0.1660 0.5786  2 H 1.02-1.04
N 0.0129 0.0614 0.7971  2 H 1.02
N 0.9871 0.9386 0.2029  2 H 1.02
N 0.7056 0.8340 0.4214  2 H 1.02-1.04
H 0.8152 0.7117 0.4194  1 N 1.02
H 0.5630 0.8533 0.5116  1 N 1.04
H 0.9002 0.9609 0.8683  1 N 1.02
H 0.0998 0.0391 0.1317  1 N 1.02
H 0.1848 0.2883 0.5806  1 N 1.02
H 0.4370 0.1467 0.4884  1 N 1.04
H 0.0865 0.8143 0.2018  1 N 1.02
H 0.9135 0.1857 0.7982  1 N 1.02
Cl 0.8628 0.4983 0.6977  2 H 2.43-2.44, 2 Cd 2.57-2.58
Cl 0.1372 0.5017 0.3023  2 H 2.43-2.44, 2 Cd 2.57-2.58
Cl 0.3067 0.3046 0.0191  1 H 2.31
Cl 0.6933 0.6954 0.9809  1 H 2.31
Cd 0.2769 0.6148 0.8224  1 O 2.24
Cd 0.7231 0.3852 0.1776  1 O 2.24
O 0.3129 0.8762 0.6731  1 C 1.28
O 0.6871 0.1238 0.3269  1 C 1.28
C 0.2059 0.0307 0.6828  1 O 1.28, 2 N 1.34-1.35
C 0.7941 0.9693 0.3172  1 O 1.28, 2 N 1.34-1.35

Results
Space group: P-1
Raw total energy: -5.31 eV per atom
DOS(E_F): 0.0 states/eV/cell